Entry 1:
The following is a DFT calculation (PBE-GGA) of a relaxed Ac2Zn4Ge3Pd crystal.

Unit cell a=4.436 b=4.436 c=10.633 alpha=90.00 beta=90.00 gamma=90.00
Atoms (fractional coordinates):
Ac  0.000  0.500  0.246
Ac  0.500  0.000  0.754
Zn  0.000  0.000  0.500
Zn  0.000  0.500  0.875
Zn  0.500  0.000  0.125
Zn  0.500  0.500  0.500
Ge  0.000  0.000  0.000
Ge  0.000  0.500  0.635
Ge  0.500  0.000  0.365
Pd  0.500  0.500  0.000

Summary:
E_tot	-37.48	eV per formula unit
symmetry	P-4m2, No. 115
magnetic moment	0.000	μB per formula unit
calculated density	8254	kg/m³
energy of formation	-0.512	eV per atom
N(E_F)	0.48	states/eV per atom

Entry 2:
The following is a DFT calculation (PBE-GGA) of a relaxed Ac3ZnGe2Pd9 crystal.

Unit cell a=6.021 b=6.021 c=10.568 alpha=90.00 beta=90.00 gamma=120.00
Atoms (fractional coordinates):
Ac  0.000  0.000  0.000
Ac  0.333  0.667  0.631
Ac  0.667  0.333  0.369
Zn  0.000  0.000  0.500
Ge  0.333  0.667  0.164
Ge  0.667  0.333  0.836
Pd  0.000  0.500  0.000
Pd  0.159  0.318  0.317
Pd  0.159  0.841  0.317
Pd  0.318  0.159  0.683
Pd  0.500  0.000  0.000
Pd  0.500  0.500  0.000
Pd  0.682  0.841  0.317
Pd  0.841  0.159  0.683
Pd  0.841  0.682  0.683

Summary:
E_tot	-78.91	eV per formula unit
symmetry	P-3m1, No. 164
magnetic moment	0.000	μB per formula unit
calculated density	9258	kg/m³
energy of formation	-0.623	eV per atom
N(E_F)	0.40	states/eV per atom

Entry 3:
The following is a DFT calculation (PBE-GGA) of a relaxed Ac2ZnGePd6 crystal.

Unit cell a=6.672 b=6.672 c=8.461 alpha=127.78 beta=127.78 gamma=49.89
Atoms (fractional coordinates):
Ac  0.244  0.244  0.212
Ac  0.756  0.756  0.788
Zn  0.500  0.500  0.000
Ge  0.000  0.000  0.500
Pd  0.252  0.252  0.605
Pd  0.252  0.747  0.256
Pd  0.253  0.748  0.744
Pd  0.747  0.252  0.256
Pd  0.748  0.253  0.744
Pd  0.748  0.748  0.395

Summary:
E_tot	-52.38	eV per formula unit
symmetry	C2/m, No. 12
magnetic moment	0.000	μB per formula unit
calculated density	9621	kg/m³
energy of formation	-0.711	eV per atom
N(E_F)	0.45	states/eV per atom

Entry 4:
The following is a DFT calculation (PBE-GGA) of a relaxed Ac3ZnGe2Pd6 crystal.

Unit cell a=5.986 b=5.986 c=8.750 alpha=90.00 beta=90.00 gamma=120.00
Atoms (fractional coordinates):
Ac  0.000  0.000  0.000
Ac  0.333  0.667  0.654
Ac  0.667  0.333  0.346
Zn  0.000  0.000  0.500
Ge  0.333  0.667  0.056
Ge  0.667  0.333  0.944
Pd  0.174  0.348  0.291
Pd  0.174  0.826  0.291
Pd  0.348  0.174  0.709
Pd  0.652  0.826  0.291
Pd  0.826  0.174  0.709
Pd  0.826  0.652  0.709

Summary:
E_tot	-62.15	eV per formula unit
symmetry	P-3m1, No. 164
magnetic moment	0.000	μB per formula unit
calculated density	9360	kg/m³
energy of formation	-0.680	eV per atom
N(E_F)	0.55	states/eV per atom

Entry 5:
The following is a DFT calculation (PBE-GGA) of a relaxed AcZn2GePd crystal.

Unit cell a=6.059 b=6.059 c=6.059 alpha=136.96 beta=136.03 gamma=63.22
Atoms (fractional coordinates):
Ac  0.000  0.000  0.000
Zn  0.372  0.372  0.000
Zn  0.751  0.251  0.500
Ge  0.620  0.620  0.000
Pd  0.240  0.740  0.500

Summary:
E_tot	-19.31	eV per formula unit
symmetry	Imm2, No. 44
magnetic moment	0.000	μB per formula unit
calculated density	8568	kg/m³
energy of formation	-0.570	eV per atom
N(E_F)	0.64	states/eV per atom

Entry 6:
The following is a DFT calculation (PBE-GGA) of a relaxed Ac2Zn3GePd4 crystal.

Unit cell a=4.586 b=4.586 c=9.873 alpha=90.00 beta=90.00 gamma=90.00
Atoms (fractional coordinates):
Ac  0.000  0.500  0.243
Ac  0.500  0.000  0.757
Zn  0.000  0.500  0.877
Zn  0.500  0.000  0.123
Zn  0.500  0.500  0.500
Ge  0.000  0.000  0.500
Pd  0.000  0.000  0.000
Pd  0.000  0.500  0.617
Pd  0.500  0.000  0.383
Pd  0.500  0.500  0.000

Summary:
E_tot	-44.27	eV per formula unit
symmetry	P-4m2, No. 115
magnetic moment	0.000	μB per formula unit
calculated density	9183	kg/m³
energy of formation	-0.684	eV per atom
N(E_F)	0.56	states/eV per atom